Entry 1:
Computed, not measured: crystalline Pm6MgNi at its relaxed geometry at the PBE level of DFT.

Output
energy of formation from the pure elements = 167 meV/atom
magnetic moment = 0.0 μB/f.u.

Lattice parameters (Å, degrees): 6.945 7.023 7.430 62.72 62.79 59.94
Sites, in units of the cell vectors:
Pm: 0.022 0.420 0.754
Pm: 0.801 0.018 0.753
Pm: 0.577 0.196 0.248
Pm: 0.199 0.982 0.247
Pm: 0.978 0.580 0.246
Pm: 0.423 0.804 0.752
Mg: 0.500 0.500 0.500
Ni: 0.000 0.000 0.000

=====

Entry 2:
Computed, not measured: crystalline GaNiIN2 at its relaxed geometry at the PBE level of DFT.

Output
total energy = -4.049 eV/atom
magnetic moment = 2.5 μB/f.u.

Lattice parameters (Å, degrees): 3.755 3.755 7.128 90.00 90.00 90.00
Sites, in units of the cell vectors:
I: 0.000 0.000 0.500
Ni: 0.500 0.500 0.500
Ga: 0.000 0.000 0.000
N: 0.000 0.500 0.000
N: 0.500 0.000 0.000

=====

Entry 3:
Computed, not measured: crystalline TcCl4 at its relaxed geometry at the PBE level of DFT.

Output
total energy = -3.087 eV/atom
magnetic moment = 3.0 μB/f.u.

Lattice parameters (Å, degrees): 5.794 5.794 5.794 115.06 115.06 98.79
Sites, in units of the cell vectors:
Tc: 0.000 0.000 0.000
Cl: 0.750 0.250 0.500
Cl: 0.250 0.750 0.500
Cl: 0.296 0.296 0.000
Cl: 0.704 0.704 0.000

=====

Entry 4:
Computed, not measured: crystalline U2GeAu at its relaxed geometry at the PBE level of DFT.

Output
energy of formation from the pure elements = -79 meV/atom
magnetic moment = 4.9 μB/f.u.

Lattice parameters (Å, degrees): 3.075 3.075 8.846 90.00 90.00 90.00
Sites, in units of the cell vectors:
Au: 0.500 0.500 0.500
Ge: 0.500 0.500 0.000
U: 0.000 0.000 0.758
U: 0.000 0.000 0.242

=====

Entry 5:
Computed, not measured: crystalline TbIn2Cl5 at its relaxed geometry at the PBE level of DFT.

Output
total energy = -3.989 eV/atom
magnetic moment = 0.0 μB/f.u.

Lattice parameters (Å, degrees): 8.590 8.499 12.788 90.00 90.00 90.00
Sites, in units of the cell vectors:
Tb: 0.425 0.250 0.506
Tb: 0.575 0.750 0.494
Tb: 0.925 0.750 0.994
Tb: 0.075 0.250 0.006
In: 0.405 0.513 0.832
In: 0.595 0.487 0.168
In: 0.905 0.487 0.668
In: 0.595 0.013 0.168
In: 0.095 0.513 0.332
In: 0.405 0.987 0.832
In: 0.095 0.987 0.332
In: 0.905 0.013 0.668
Cl: 0.101 0.250 0.503
Cl: 0.899 0.750 0.497
Cl: 0.601 0.750 0.997
Cl: 0.399 0.250 0.003
Cl: 0.336 0.950 0.557
Cl: 0.664 0.050 0.443
Cl: 0.836 0.050 0.943
Cl: 0.664 0.450 0.443
Cl: 0.164 0.950 0.057
Cl: 0.336 0.550 0.557
Cl: 0.164 0.550 0.057
Cl: 0.836 0.450 0.943
Cl: 0.141 0.250 0.801
Cl: 0.859 0.750 0.199
Cl: 0.641 0.750 0.699
Cl: 0.359 0.250 0.301
Cl: 0.563 0.250 0.695
Cl: 0.437 0.750 0.305
Cl: 0.063 0.750 0.805
Cl: 0.937 0.250 0.195

=====

Entry 6:
Computed, not measured: crystalline Y3Ag at its relaxed geometry at the PBE level of DFT.

Output
energy of formation from the pure elements = 3 meV/atom
magnetic moment = 0.0 μB/f.u.

Lattice parameters (Å, degrees): 5.281 6.154 6.847 90.00 90.00 90.00
Sites, in units of the cell vectors:
Y: 0.500 0.629 0.000
Y: 0.000 0.841 0.258
Y: 0.500 0.159 0.242
Y: 0.000 0.371 0.500
Y: 0.000 0.841 0.742
Y: 0.500 0.159 0.758
Ag: 0.000 0.332 0.000
Ag: 0.500 0.668 0.500

=====

magnetic moment of number 6 (Y3Ag)? 0.0 μB/f.u.

=====

What is the formula in the third record? TcCl4

=====

Look up the magnetic moment of the fourth one. 4.9 μB/f.u.